Entry 1:
DFT (PBE-GGA) results for an optimized crystal structure of RbCoH3.

Cell: 3.7753 3.7753 3.7753 Å, 90.00 90.00 90.00°
Sites, in units of the cell vectors:
Rb1 0.0000 0.0000 0.0000
Co1 0.5000 0.5000 0.5000
H1 0.0000 0.5000 0.5000
H2 0.5000 0.0000 0.5000
H3 0.5000 0.5000 0.0000

- SG: Pm-3m, No. 221
- Crystal system: cubic
- VASP energy: -3.399 eV/atom

Entry 2:
DFT (PBE-GGA) results for an optimized crystal structure of Os2RuRh6.

Cell: 4.6995 4.6995 8.1641 Å, 106.64 106.64 48.13°
Sites, in units of the cell vectors:
Os1 0.1673 0.1673 0.0509
Os2 0.8327 0.8327 0.9491
Ru1 0.5000 0.5000 0.5000
Rh1 0.1669 0.1669 0.7254
Rh2 0.1697 0.1697 0.3896
Rh3 0.4978 0.4978 0.1671
Rh4 0.5022 0.5022 0.8329
Rh5 0.8303 0.8303 0.6104
Rh6 0.8331 0.8331 0.2746

- ΔH_f (0 K): 0.49 eV per formula unit
- SG: C2/m, No. 12
- Crystal system: monoclinic
- Energy relative to the lowest polymorph listed for this composition: 40.6 meV/atom

Entry 3:
DFT (PBE-GGA) results for an optimized crystal structure of Fe2AgAu.

Cell: 2.7727 2.7727 7.8945 Å, 90.00 90.00 90.00°
Sites, in units of the cell vectors:
Fe1 0.0000 0.0000 0.2489
Fe2 0.0000 0.0000 0.7511
Ag1 0.5000 0.5000 0.5000
Au1 0.5000 0.5000 0.0000

- ΔH_f (0 K): 1.21 eV per formula unit
- SG: P4/mmm, No. 123
- Crystal system: tetragonal

Entry 4:
DFT (PBE-GGA) results for an optimized crystal structure of Be2HgH.

Cell: 5.5333 5.5333 5.5333 Å, 133.11 133.11 68.49°
Sites, in units of the cell vectors:
Be1 0.0000 0.0000 0.0000
Be2 0.0000 0.0000 0.5000
Be3 0.0000 0.5000 0.0000
Be4 0.5000 0.0000 0.5000
Hg1 0.3750 0.6250 0.7500
Hg2 0.6250 0.3750 0.2500
H1 0.1250 0.8750 0.2500
H2 0.8750 0.1250 0.7500

- SG: I4_1/amd, No. 141
- Crystal system: tetragonal
- Energy relative to the lowest polymorph listed for this composition: 0.0 meV/atom